Material: La2Tb3Ni2
Method: DFT, PBE
State: optimized geometry

Summary:
Energy relative to the elements in meV per atom: -229.8
Energy in eV per formula unit: -36.92

a = 3.6707 Å, b = 6.4548 Å, c = 8.7185 Å
α = 72.64°, β = 77.85°, γ = 73.48°
With the nearest neighbours (Å) after each atom.
Atoms (fractional coordinates):
La  0.1667  0.4758  0.1909  2 Ni 2.93
La  0.8333  0.5242  0.8091  2 Ni 2.93
Tb  0.5000  0.0000  0.0000  4 Ni 2.91
Tb  0.3831  0.8056  0.4283  3 Ni 2.78-3.05
Tb  0.6169  0.1944  0.5717  3 Ni 2.78-3.05
Ni  0.1676  0.9039  0.7609  5 Tb 2.78-3.05, 2 La 2.93
Ni  0.8324  0.0961  0.2391  5 Tb 2.78-3.05, 2 La 2.93